# SmFe2Si2

A crystal of SmFe2Si2 relaxed with PBEsol (meta-GGA SCAN, Alexandria via LeMat-Bulk).

abc: 3.9473 3.9473 5.5235
angles: 110.94 110.94 90.00
Last column: nearest neighbours and their distance in Å.
Sites, in units of the cell vectors:
Si: 0.6368 0.6368 0.2735  4 Fe 2.25
Si: 0.3632 0.3632 0.7265  4 Fe 2.25
Fe: 0.2500 0.7500 0.5000  4 Si 2.25
Fe: 0.7500 0.2500 0.5000  4 Si 2.25
Sm: 0.0000 0.0000 0.0000  8 Si 3.08, 8 Fe 3.09

Computed properties:
Its total energy is -20.688 eV per atom. The crystal system is tetragonal. The value obtained for the formation energy (no corrections) is -0.541 eV/atom.